Material: PPdRuS2
Method: DFT, PBE
State: optimized geometry

a = 4.7201 Å, b = 4.7201 Å, c = 4.5168 Å
α = 90.00°, β = 90.00°, γ = 90.00°
Last column: nearest neighbours and their distance in Å.
Atoms (fractional coordinates):
P: 0.0000 0.0000 0.0000  2 Pd 2.26
Pd: 0.0000 0.0000 0.5000  2 P 2.26, 4 S 2.36
Ru: 0.5000 0.5000 0.0000  8 S 3.27, 4 P 3.34
S: 0.0000 0.5000 0.5000  2 Pd 2.36
S: 0.5000 0.0000 0.5000  2 Pd 2.36

**N(E_F)**: 6.827 states/eV per cell
**Energy above the most stable polymorph in this dataset**: 453 meV per atom
**Raw total energy**: -4.479 eV/atom
**Energy relative to the elements, uncorrected**: 1.1472 eV per atom
**Mass density**: 4.99 g cm⁻³
**Magnetic moment**: 2.92 μB per formula unit

---

Material: P2PdRuS
Method: DFT, PBE
State: optimized geometry

a = 4.4043 Å, b = 4.4043 Å, c = 5.0639 Å
α = 90.00°, β = 90.00°, γ = 90.00°
Last column: nearest neighbours and their distance in Å.
Atoms (fractional coordinates):
P: 0.0000 0.5000 0.0000  2 Ru 2.20
P: 0.5000 0.0000 0.0000  2 Ru 2.20
Pd: 0.0000 0.0000 0.5000  4 S 3.11, 8 P 3.36
Ru: 0.5000 0.5000 0.0000  4 P 2.20
S: 0.5000 0.5000 0.5000  2 Ru 2.53

**N(E_F)**: 4.653 states/eV per cell
**Energy above the most stable polymorph in this dataset**: 0 meV per atom
**Raw total energy**: -5.207 eV/atom
**Energy relative to the elements, uncorrected**: 0.6765 eV per atom
**Mass density**: 5.10 g cm⁻³
**Magnetic moment**: 0.00 μB per formula unit

---

Material: P2PdRuS
Method: DFT, PBE
State: optimized geometry

a = 4.5223 Å, b = 4.5223 Å, c = 4.6719 Å
α = 90.00°, β = 90.00°, γ = 90.00°
Last column: nearest neighbours and their distance in Å.
Atoms (fractional coordinates):
P: 0.0000 0.5000 0.0000  2 Pd 2.26
P: 0.5000 0.0000 0.0000  2 Pd 2.26
Pd: 0.0000 0.0000 0.0000  4 P 2.26, 2 S 2.34
Ru: 0.5000 0.5000 0.5000  4 S 3.20, 8 P 3.25
S: 0.0000 0.0000 0.5000  2 Pd 2.34

**N(E_F)**: 6.342 states/eV per cell
**Energy above the most stable polymorph in this dataset**: 523 meV per atom
**Raw total energy**: -4.684 eV/atom
**Energy relative to the elements, uncorrected**: 1.1991 eV per atom
**Mass density**: 5.24 g cm⁻³
**Magnetic moment**: 0.00 μB per formula unit

---

Material: PPdRuS2
Method: DFT, PBE
State: optimized geometry

a = 4.6722 Å, b = 4.6722 Å, c = 4.4329 Å
α = 90.00°, β = 90.00°, γ = 90.00°
Last column: nearest neighbours and their distance in Å.
Atoms (fractional coordinates):
P: 0.0000 0.0000 0.0000  2 Ru 2.22
Pd: 0.5000 0.5000 0.0000  8 S 3.22, 4 P 3.30
Ru: 0.0000 0.0000 0.5000  2 P 2.22, 4 S 2.34
S: 0.0000 0.5000 0.5000  2 Ru 2.34
S: 0.5000 0.0000 0.5000  2 Ru 2.34

**N(E_F)**: 7.395 states/eV per cell
**Energy above the most stable polymorph in this dataset**: 0 meV per atom
**Raw total energy**: -4.932 eV/atom
**Energy relative to the elements, uncorrected**: 0.6945 eV per atom
**Mass density**: 5.19 g cm⁻³
**Magnetic moment**: 0.00 μB per formula unit

---

Material: SbP2PdRu
Method: DFT, PBE
State: optimized geometry

a = 4.3800 Å, b = 4.3800 Å, c = 5.6925 Å
α = 90.00°, β = 90.00°, γ = 90.00°
Last column: nearest neighbours and their distance in Å.
Atoms (fractional coordinates):
Sb: 0.0000 0.0000 0.0000  2 Ru 2.85, 4 Pd 3.10
P: 0.0000 0.5000 0.5000  2 Ru 2.19
P: 0.5000 0.0000 0.5000  2 Ru 2.19
Pd: 0.5000 0.5000 0.0000  4 Sb 3.10
Ru: 0.0000 0.0000 0.5000  4 P 2.19

**N(E_F)**: 5.621 states/eV per cell
**Raw total energy**: -5.379 eV/atom
**Energy relative to the elements, uncorrected**: 0.5031 eV per atom
**Mass density**: 5.95 g cm⁻³
**Magnetic moment**: 0.00 μB per formula unit

---

Material: SrPPd2Ru
Method: DFT, PBE
State: optimized geometry

a = 5.0411 Å, b = 5.0411 Å, c = 5.0329 Å
α = 90.00°, β = 90.00°, γ = 90.00°
Last column: nearest neighbours and their distance in Å.
Atoms (fractional coordinates):
Sr: 0.0000 0.0000 0.0000  2 Ru 2.52, 4 Pd 2.52
P: 0.5000 0.5000 0.5000  8 Pd 3.56, 4 Ru 3.56
Pd: 0.0000 0.5000 0.0000  2 Sr 2.52
Pd: 0.5000 0.0000 0.0000  2 Sr 2.52
Ru: 0.0000 0.0000 0.5000  2 Sr 2.52

**N(E_F)**: 4.308 states/eV per cell
**Raw total energy**: -3.519 eV/atom
**ΔH_f (0 K)**: 1832 meV/atom
**Mass density**: 5.62 g cm⁻³
**Magnetic moment**: 1.93 μB per formula unit

---

Material: SrPPdRu
Method: DFT, PBE
State: optimized geometry

a = 3.9825 Å, b = 3.9825 Å, c = 10.5648 Å
α = 90.00°, β = 90.00°, γ = 90.00°
Last column: nearest neighbours and their distance in Å.
Atoms (fractional coordinates):
Sr: 0.2500 0.2500 0.2288  4 Pd 3.13, 4 P 3.27, 4 Ru 3.49
Sr: 0.7500 0.7500 0.7712  4 Pd 3.13, 4 P 3.27, 4 Ru 3.49
P: 0.2500 0.2500 0.6146  4 Ru 2.33
P: 0.7500 0.7500 0.3854  4 Ru 2.33
Pd: 0.2500 0.7500 0.0000  4 Pd 2.82, 4 Sr 3.13
Pd: 0.7500 0.2500 0.0000  4 Pd 2.82, 4 Sr 3.13
Ru: 0.2500 0.7500 0.5000  4 P 2.33
Ru: 0.7500 0.2500 0.5000  4 P 2.33

**N(E_F)**: 1.833 states/eV per cell
**Raw total energy**: -6.106 eV/atom
**ΔH_f (0 K)**: -716 meV/atom
**Mass density**: 6.46 g cm⁻³
**Magnetic moment**: 0.00 μB per formula unit

---

Material: Ta2PPdRu
Method: DFT, PBE
State: optimized geometry

a = 4.5867 Å, b = 4.5867 Å, c = 4.2924 Å
α = 90.00°, β = 90.00°, γ = 90.00°
Last column: nearest neighbours and their distance in Å.
Atoms (fractional coordinates):
Ta: 0.0000 0.5000 0.0000  2 P 2.29
Ta: 0.5000 0.0000 0.0000  2 P 2.29
P: 0.0000 0.0000 0.0000  2 Pd 2.15, 4 Ta 2.29
Pd: 0.0000 0.0000 0.5000  2 P 2.15
Ru: 0.5000 0.5000 0.5000  8 Ta 3.14, 4 Pd 3.24

**N(E_F)**: 2.988 states/eV per cell
**Raw total energy**: -8.301 eV/atom
**ΔH_f (0 K)**: 416 meV/atom
**Mass density**: 11.04 g cm⁻³
**Magnetic moment**: 0.63 μB per formula unit

---

Material: Tc2PPdRu
Method: DFT, PBE
State: optimized geometry

a = 4.3516 Å, b = 4.3516 Å, c = 4.3029 Å
α = 90.00°, β = 90.00°, γ = 90.00°
Last column: nearest neighbours and their distance in Å.
Atoms (fractional coordinates):
Tc: 0.0000 0.5000 0.0000  2 P 2.18
Tc: 0.5000 0.0000 0.0000  2 P 2.18
P: 0.0000 0.0000 0.0000  2 Ru 2.15, 4 Tc 2.18
Pd: 0.5000 0.5000 0.5000  8 Tc 3.06, 4 Ru 3.08
Ru: 0.0000 0.0000 0.5000  2 P 2.15

**N(E_F)**: 4.541 states/eV per cell
**Raw total energy**: -7.596 eV/atom
**ΔH_f (0 K)**: 527 meV/atom
**Mass density**: 8.85 g cm⁻³
**Magnetic moment**: 0.00 μB per formula unit

---

Material: UP2Pd2Ru
Method: DFT, PBE
State: optimized geometry

a = 4.2043 Å, b = 6.9867 Å, c = 6.6940 Å
α = 90.00°, β = 90.00°, γ = 90.00°
Last column: nearest neighbours and their distance in Å.
Atoms (fractional coordinates):
U: 0.0000 0.0660 0.0000  6 P 2.74-3.02, 2 Ru 2.97
U: 0.0000 0.9340 0.5000  6 P 2.74-3.02, 2 Ru 2.97
P: 0.0000 0.3250 0.6921  2 Pd 2.28-2.34, 2 Ru 2.31
P: 0.0000 0.6750 0.1921  2 Pd 2.28-2.34, 2 Ru 2.31
P: 0.5000 0.1326 0.2882  1 Pd 2.44, 2 Ru 2.44-2.50
P: 0.5000 0.8674 0.7882  1 Pd 2.44, 2 Ru 2.44-2.50
Pd: 0.0000 0.3857 0.3482  2 P 2.28-2.34
Pd: 0.0000 0.6143 0.8482  2 P 2.28-2.34
Pd: 0.5000 0.3959 0.0491  1 P 2.44
Pd: 0.5000 0.6041 0.5491  1 P 2.44
Ru: 0.5000 0.1937 0.6563  4 P 2.31-2.50
Ru: 0.5000 0.8063 0.1563  4 P 2.31-2.50

**N(E_F)**: 13.391 states/eV per cell
**Raw total energy**: -7.532 eV/atom
**ΔH_f (0 K)**: -570 meV/atom
**Mass density**: 10.37 g cm⁻³
**Magnetic moment**: 2.03 μB per formula unit

---

Material: P2PdS2
Method: DFT, PBE
State: optimized geometry

a = 4.5120 Å, b = 4.5120 Å, c = 4.4008 Å
α = 90.00°, β = 90.00°, γ = 90.00°
Last column: nearest neighbours and their distance in Å.
Atoms (fractional coordinates):
P: 0.0000 0.5000 0.0000  2 S 2.26
P: 0.5000 0.0000 0.0000  2 S 2.26
Pd: 0.0000 0.0000 0.5000  8 P 3.15, 4 S 3.19
S: 0.5000 0.5000 0.0000  2 S 2.20, 4 P 2.26
S: 0.5000 0.5000 0.5000  2 S 2.20

**N(E_F)**: 4.158 states/eV per cell
**Energy above the most stable polymorph in this dataset**: 206 meV per atom
**Raw total energy**: -3.901 eV/atom
**Energy relative to the elements, uncorrected**: 0.9523 eV per atom
**Mass density**: 4.31 g cm⁻³
**Magnetic moment**: 0.00 μB per formula unit

---

Material: PPd2S
Method: DFT, PBE
State: optimized geometry

a = 6.5204 Å, b = 6.5204 Å, c = 6.5204 Å
α = 130.19°, β = 130.19°, γ = 73.10°
Last column: nearest neighbours and their distance in Å.
Atoms (fractional coordinates):
P: 0.0000 0.0000 0.0000  4 Pd 2.30
P: 0.7500 0.2500 0.5000  4 Pd 2.30
Pd: 0.1112 0.6250 0.9862  2 P 2.30, 2 S 2.39
Pd: 0.3750 0.3612 0.4862  2 P 2.30, 2 S 2.39
Pd: 0.6388 0.1250 0.0138  2 P 2.30, 2 S 2.39
Pd: 0.8750 0.8888 0.5138  2 P 2.30, 2 S 2.39
S: 0.2500 0.7500 0.5000  4 Pd 2.39
S: 0.5000 0.5000 0.0000  4 Pd 2.39

**N(E_F)**: 5.912 states/eV per cell
**Raw total energy**: -5.099 eV/atom
**Energy relative to the elements, uncorrected**: -0.1183 eV per atom
**Mass density**: 5.80 g cm⁻³
**Magnetic moment**: 0.00 μB per formula unit